[1]
# AlBiTeI2 PBE optimized geometry
data_AlBiTeI2
_chemical_formula_sum 'Al1 Bi1 Te1 I2'
_space_group_name_H-M_alt 'P 1'
_space_group_IT_number 1
_cell_length_a 5.421
_cell_length_b 5.421
_cell_length_c 5.607
_cell_angle_alpha 90.00
_cell_angle_beta 90.00
_cell_angle_gamma 90.00
loop_
_space_group_symop_operation_xyz
'x,y,z'
loop_
_atom_site_label
_atom_site_fract_x
_atom_site_fract_y
_atom_site_fract_z
Al1 0.000 0.000 0.000
Bi1 0.500 0.500 0.500
Te1 0.000 0.000 0.500
I1 0.000 0.500 0.000
I2 0.500 0.000 0.000
# Mass density (Mg/m³): 6.222
# Uncorrected energy (eV/atom): -2.6718
# Energy relative to the lowest polymorph listed for this composition (meV per atom): 0
# Uncorrected formation energy (meV/atom): 101
# Density of states at the Fermi level (states/eV per cell): 2.439

---

[2]
# Li2CaNdTl4 PBE optimized geometry
data_Li2CaNdTl4
_chemical_formula_sum 'Li2 Ca1 Nd1 Tl4'
_space_group_name_H-M_alt 'P 1'
_space_group_IT_number 1
_cell_length_a 9.143
_cell_length_b 9.143
_cell_length_c 9.143
_cell_angle_alpha 33.45
_cell_angle_beta 33.45
_cell_angle_gamma 33.45
loop_
_space_group_symop_operation_xyz
'x,y,z'
loop_
_atom_site_label
_atom_site_fract_x
_atom_site_fract_y
_atom_site_fract_z
Li1 0.250 0.250 0.250
Li2 0.750 0.750 0.750
Ca1 0.000 0.000 0.000
Nd1 0.500 0.500 0.500
Tl1 0.124 0.124 0.124
Tl2 0.374 0.374 0.374
Tl3 0.626 0.626 0.626
Tl4 0.876 0.876 0.876
# Mass density (Mg/m³): 8.157
# Uncorrected energy (eV/atom): -2.8350
# Density of states at the Fermi level (states/eV per cell): 4.025

---

[3]
# Cr2HgBr PBE optimized geometry
data_Cr2HgBr
_chemical_formula_sum 'Cr2 Hg1 Br1'
_space_group_name_H-M_alt 'P 1'
_space_group_IT_number 1
_cell_length_a 5.039
_cell_length_b 5.039
_cell_length_c 5.039
_cell_angle_alpha 60.00
_cell_angle_beta 60.00
_cell_angle_gamma 60.00
loop_
_space_group_symop_operation_xyz
'x,y,z'
loop_
_atom_site_label
_atom_site_fract_x
_atom_site_fract_y
_atom_site_fract_z
Cr1 0.000 0.000 0.000
Cr2 0.250 0.250 0.250
Hg1 0.750 0.750 0.750
Br1 0.500 0.500 0.500
# Mass density (Mg/m³): 7.058
# Uncorrected energy (eV/atom): -4.4197
# Energy relative to the lowest polymorph listed for this composition (meV per atom): 623
# Uncorrected formation energy (meV/atom): 886
# Density of states at the Fermi level (states/eV per cell): 1.411

---

[4]
# PmHgGe PBE optimized geometry
data_PmHgGe
_chemical_formula_sum 'Pm1 Hg1 Ge1'
_space_group_name_H-M_alt 'P 1'
_space_group_IT_number 1
_cell_length_a 4.490
_cell_length_b 4.490
_cell_length_c 4.234
_cell_angle_alpha 90.00
_cell_angle_beta 90.00
_cell_angle_gamma 120.00
loop_
_space_group_symop_operation_xyz
'x,y,z'
loop_
_atom_site_label
_atom_site_fract_x
_atom_site_fract_y
_atom_site_fract_z
Pm1 0.000 0.000 0.000
Hg1 0.667 0.333 0.430
Ge1 0.333 0.667 0.605
# Mass density (Mg/m³): 9.393
# Uncorrected energy (eV/atom): -3.7400
# Energy relative to the lowest polymorph listed for this composition (meV per atom): 58
# Density of states at the Fermi level (states/eV per cell): 1.421

---

[5]
# AlZn2Bi PBE optimized geometry
data_AlZn2Bi
_chemical_formula_sum 'Al2 Zn4 Bi2'
_space_group_name_H-M_alt 'P 1'
_space_group_IT_number 1
_cell_length_a 6.209
_cell_length_b 6.209
_cell_length_c 6.209
_cell_angle_alpha 103.05
_cell_angle_beta 103.05
_cell_angle_gamma 123.25
loop_
_space_group_symop_operation_xyz
'x,y,z'
loop_
_atom_site_label
_atom_site_fract_x
_atom_site_fract_y
_atom_site_fract_z
Al1 0.000 0.000 0.000
Al2 0.750 0.250 0.500
Zn1 0.098 0.125 0.473
Zn2 0.375 0.902 0.027
Zn3 0.652 0.625 0.527
Zn4 0.875 0.348 0.973
Bi1 0.250 0.750 0.500
Bi2 0.500 0.500 0.000
# Mass density (Mg/m³): 6.917
# Uncorrected energy (eV/atom): -2.2777
# Energy relative to the lowest polymorph listed for this composition (meV per atom): 80
# Density of states at the Fermi level (states/eV per cell): 4.623

---

[6]
# CsTiAsRu2 PBE optimized geometry
data_CsTiAsRu2
_chemical_formula_sum 'Cs1 Ti1 As1 Ru2'
_space_group_name_H-M_alt 'P 1'
_space_group_IT_number 1
_cell_length_a 4.878
_cell_length_b 4.878
_cell_length_c 4.929
_cell_angle_alpha 90.00
_cell_angle_beta 90.00
_cell_angle_gamma 90.00
loop_
_space_group_symop_operation_xyz
'x,y,z'
loop_
_atom_site_label
_atom_site_fract_x
_atom_site_fract_y
_atom_site_fract_z
Cs1 0.000 0.000 0.000
Ti1 0.000 0.000 0.500
As1 0.500 0.500 0.500
Ru1 0.000 0.500 0.000
Ru2 0.500 0.000 0.000
# Mass density (Mg/m³): 6.482
# Uncorrected energy (eV/atom): -3.9152
# Density of states at the Fermi level (states/eV per cell): 8.324

---

[7]
# TmIn2Si PBE optimized geometry
data_TmIn2Si
_chemical_formula_sum 'Tm1 In2 Si1'
_space_group_name_H-M_alt 'P 1'
_space_group_IT_number 1
_cell_length_a 4.271
_cell_length_b 4.271
_cell_length_c 4.865
_cell_angle_alpha 90.00
_cell_angle_beta 90.00
_cell_angle_gamma 90.00
loop_
_space_group_symop_operation_xyz
'x,y,z'
loop_
_atom_site_label
_atom_site_fract_x
_atom_site_fract_y
_atom_site_fract_z
Tm1 0.000 0.000 0.000
In1 0.000 0.500 0.500
In2 0.500 0.000 0.500
Si1 0.500 0.500 0.000
# Mass density (Mg/m³): 7.983
# Uncorrected energy (eV/atom): -4.0952
# Uncorrected formation energy (meV/atom): -252
# Density of states at the Fermi level (states/eV per cell): 1.451

---

[8]
# NbAl5 PBE optimized geometry
data_NbAl5
_chemical_formula_sum 'Nb2 Al10'
_space_group_name_H-M_alt 'P 1'
_space_group_IT_number 1
_cell_length_a 4.998
_cell_length_b 4.998
_cell_length_c 9.068
_cell_angle_alpha 90.00
_cell_angle_beta 90.00
_cell_angle_gamma 120.00
loop_
_space_group_symop_operation_xyz
'x,y,z'
loop_
_atom_site_label
_atom_site_fract_x
_atom_site_fract_y
_atom_site_fract_z
Nb1 0.333 0.667 0.250
Nb2 0.667 0.333 0.750
Al1 0.000 0.000 0.250
Al2 0.000 0.000 0.750
Al3 0.000 0.335 0.500
Al4 0.000 0.665 0.000
Al5 0.333 0.667 0.750
Al6 0.335 0.000 0.500
Al7 0.335 0.335 0.000
Al8 0.665 0.000 0.000
Al9 0.665 0.665 0.500
Al10 0.667 0.333 0.250
# Mass density (Mg/m³): 3.857
# Uncorrected energy (eV/atom): -5.0183
# Density of states at the Fermi level (states/eV per cell): 7.824

---

[9]
# SrLi2W PBE optimized geometry
data_SrLi2W
_chemical_formula_sum 'Sr1 Li2 W1'
_space_group_name_H-M_alt 'P 1'
_space_group_IT_number 1
_cell_length_a 5.954
_cell_length_b 5.954
_cell_length_c 2.777
_cell_angle_alpha 101.33
_cell_angle_beta 101.33
_cell_angle_gamma 115.68
loop_
_space_group_symop_operation_xyz
'x,y,z'
loop_
_atom_site_label
_atom_site_fract_x
_atom_site_fract_y
_atom_site_fract_z
Sr1 0.000 0.000 0.000
Li1 0.000 0.500 0.500
Li2 0.500 0.000 0.500
W1 0.500 0.500 0.000
# Mass density (Mg/m³): 5.746
# Uncorrected energy (eV/atom): -3.7248
# Energy relative to the lowest polymorph listed for this composition (meV per atom): 164
# Density of states at the Fermi level (states/eV per cell): 3.064

---

[10]
# Zn2SbPt PBE optimized geometry
data_Zn2SbPt
_chemical_formula_sum 'Zn2 Sb1 Pt1'
_space_group_name_H-M_alt 'P 1'
_space_group_IT_number 1
_cell_length_a 4.730
_cell_length_b 4.730
_cell_length_c 4.519
_cell_angle_alpha 102.13
_cell_angle_beta 102.13
_cell_angle_gamma 48.25
loop_
_space_group_symop_operation_xyz
'x,y,z'
loop_
_atom_site_label
_atom_site_fract_x
_atom_site_fract_y
_atom_site_fract_z
Zn1 0.231 0.231 0.182
Zn2 0.769 0.769 0.818
Sb1 0.000 0.000 0.500
Pt1 0.500 0.500 0.000
# Mass density (Mg/m³): 10.128
# Uncorrected energy (eV/atom): -3.3199
# Uncorrected formation energy (meV/atom): -142
# Density of states at the Fermi level (states/eV per cell): 0.966

---

[11]
# Tb4CeRu2 PBE optimized geometry
data_Tb4CeRu2
_chemical_formula_sum 'Tb8 Ce2 Ru4'
_space_group_name_H-M_alt 'P 1'
_space_group_IT_number 1
_cell_length_a 7.720
_cell_length_b 6.492
_cell_length_c 8.207
_cell_angle_alpha 90.00
_cell_angle_beta 114.67
_cell_angle_gamma 90.00
loop_
_space_group_symop_operation_xyz
'x,y,z'
loop_
_atom_site_label
_atom_site_fract_x
_atom_site_fract_y
_atom_site_fract_z
Tb1 0.126 0.250 0.493
Tb2 0.180 0.750 0.250
Tb3 0.253 0.505 0.907
Tb4 0.253 0.995 0.907
Tb5 0.747 0.005 0.093
Tb6 0.747 0.495 0.093
Tb7 0.820 0.250 0.750
Tb8 0.874 0.750 0.507
Ce1 0.460 0.250 0.317
Ce2 0.540 0.750 0.683
Ru1 0.124 0.250 0.150
Ru2 0.487 0.250 0.781
Ru3 0.513 0.750 0.219
Ru4 0.876 0.750 0.850
# Mass density (Mg/m³): 8.691
# Uncorrected energy (eV/atom): -6.3532
# Density of states at the Fermi level (states/eV per cell): 19.979

---

[12]
# YTlNi2 PBE optimized geometry
data_YTlNi2
_chemical_formula_sum 'Y1 Tl1 Ni2'
_space_group_name_H-M_alt 'P 1'
_space_group_IT_number 1
_cell_length_a 5.454
_cell_length_b 5.454
_cell_length_c 5.454
_cell_angle_alpha 141.50
_cell_angle_beta 132.23
_cell_angle_gamma 62.95
loop_
_space_group_symop_operation_xyz
'x,y,z'
loop_
_atom_site_label
_atom_site_fract_x
_atom_site_fract_y
_atom_site_fract_z
Y1 0.000 0.000 0.000
Tl1 0.725 0.225 0.500
Ni1 0.280 0.780 0.500
Ni2 0.465 0.465 0.000
# Mass density (Mg/m³): 9.231
# Uncorrected energy (eV/atom): -5.1677
# Density of states at the Fermi level (states/eV per cell): 2.766